No. 1
{
  "formula": "AlTc2W",
  "functional": "PBE-GGA",
  "state": "optimized geometry",
  "density_g_cm3": 11.32,
  "magnetic_moment_mub_per_fu": 0.0,
  "ef_ev_per_fu": -0.425,
  "final_energy_ev_per_fu": -37.9,
  "lattice_angstrom": [[-2.742, 0.068, 3.308], [-2.114, -0.334, -1.745], [-0.605, -5.154, -0.395]],
  "species": ["Tc", "Tc", "W", "Al"],
  "frac_coords": [[0.000, 0.997, 0.995], [0.500, 0.274, 0.248], [0.000, 0.456, 0.505], [0.500, 0.773, 0.753]]
}

No. 2
{
  "formula": "AlTcW2",
  "functional": "PBE-GGA",
  "state": "optimized geometry",
  "density_g_cm3": 13.31,
  "magnetic_moment_mub_per_fu": 0.0,
  "ef_ev_per_fu": 0.084,
  "final_energy_ev_per_fu": -39.9,
  "lattice_angstrom": [[-4.737, -2.024, 0.411], [3.343, -0.850, 3.848], [-1.041, 1.716, 1.860]],
  "species": ["Tc", "W", "W", "Al"],
  "frac_coords": [[0.000, 0.500, 0.500], [0.000, 0.000, 0.000], [0.500, 0.500, 0.000], [0.500, 0.000, 0.500]]
}